An optimized crystal structure of BaPtRh2, computed with GGA-PBE.

The volume comes out at 83.8 Å³/cell. The total energy is -5.51 eV per atom. As for the crystal system: monoclinic. The value obtained for the calculated density is 10.66 g/cm³. The energy above the most stable polymorph in this dataset comes out at 1.53 eV per formula unit.

It has space group Pm (No. 6), with a = 2.971 Å, b = 4.269 Å, c = 6.697 Å, α = 90.00°, β = 99.27° and γ = 90.00°. Symmetry generates all atoms from Ba at (0.000, 0.000, 0.000), Pt at (0.615, 0.500, 0.293), Rh at (0.238, 0.500, 0.646) and Rh at (0.682, 0.000, 0.533).